(1)
DFT (SCAN) results for a crystal of LiPtPb relaxed with PBEsol.

Cell lengths 4.452, 4.452, 4.452 Å; angles 60.00, 60.00, 60.00 degrees
Positions (direct):
Li  0.000  0.000  0.000
Pt  0.250  0.250  0.250
Pb  0.500  0.500  0.500

Computed properties:
Energy in eV/cell: -149.625
E_form in kJ/mol of atoms: -40.6
SG: F-43m (216)

***

(2)
DFT (SCAN) results for a crystal of YZnOs2 relaxed with PBEsol.

Cell lengths 3.072, 4.449, 4.738 Å; angles 90.00, 90.00, 90.00 degrees
Positions (direct):
Y  0.000  0.000  0.000
Zn  0.500  0.000  0.500
Os  0.000  0.500  0.500
Os  0.500  0.500  0.000

Computed properties:
Energy in eV/cell: -184.052
E_form in kJ/mol of atoms: 25.7
SG: Pmmm (47)

***

(3)
DFT (SCAN) results for a crystal of CaAuSe relaxed with PBEsol.

Cell lengths 4.721, 4.721, 4.721 Å; angles 60.00, 60.00, 60.00 degrees
Positions (direct):
Ca  0.000  0.000  0.000
Au  0.500  0.500  0.500
Se  0.750  0.750  0.750

Computed properties:
Energy in eV/cell: -101.518
SG: F-43m (216)
Formation energy without anion corrections in meV/atom: -873

***

(4)
DFT (SCAN) results for a crystal of ZnCrPSe2 relaxed with PBEsol.

Cell lengths 4.569, 4.569, 4.735 Å; angles 90.00, 90.00, 90.00 degrees
Positions (direct):
Zn  0.000  0.000  0.000
Cr  0.000  0.000  0.500
P  0.500  0.500  0.000
Se  0.000  0.500  0.500
Se  0.500  0.000  0.500

Computed properties:
Energy in eV/cell: -79.056
SG: P4/mmm (123)
Formation energy without anion corrections in meV/atom: 680

***

(5)
DFT (SCAN) results for a crystal of VZn2O4 relaxed with PBEsol.

Cell lengths 5.965, 5.965, 5.965 Å; angles 122.37, 120.56, 87.48 degrees
Positions (direct):
V  0.500  0.000  0.000
V  0.500  0.500  0.500
Zn  0.000  0.000  0.000
Zn  0.134  0.384  0.750
Zn  0.500  0.000  0.500
Zn  0.866  0.616  0.250
O  0.270  0.748  0.522
O  0.274  0.252  0.022
O  0.280  0.270  0.490
O  0.280  0.790  0.010
O  0.720  0.210  0.990
O  0.720  0.730  0.510
O  0.726  0.748  0.978
O  0.730  0.252  0.478

Computed properties:
Energy in eV/cell: -167.225
SG: Imma (74)
Formation energy without anion corrections in meV/atom: -2024

***

(6)
DFT (SCAN) results for a crystal of LaSb3 relaxed with PBEsol.

Cell lengths 6.220, 6.220, 6.220 Å; angles 137.31, 137.31, 61.96 degrees
Positions (direct):
La  0.000  0.000  0.000
Sb  0.250  0.750  0.500
Sb  0.500  0.500  0.000
Sb  0.750  0.250  0.500

Computed properties:
Energy in eV/cell: -157.493
SG: I4/mmm (139)
Formation energy without anion corrections in meV/atom: -651

***

(7)
DFT (SCAN) results for a crystal of MgZrCd2 relaxed with PBEsol.

Cell lengths 5.468, 5.468, 2.931 Å; angles 90.00, 90.00, 108.89 degrees
Positions (direct):
Mg  0.000  0.000  0.000
Zr  0.500  0.500  0.000
Cd  0.000  0.500  0.500
Cd  0.500  0.000  0.500

Computed properties:
Energy in eV/cell: -97.101
E_form in kJ/mol of atoms: -14.5
SG: Cmmm (65)

***

(8)
DFT (SCAN) results for a crystal of LiCd2GaPd relaxed with PBEsol.

Cell lengths 5.102, 5.102, 4.534 Å; angles 90.00, 90.00, 90.00 degrees
Positions (direct):
Li  0.000  0.000  0.000
Cd  0.000  0.500  0.500
Cd  0.500  0.000  0.500
Ga  0.500  0.500  0.000
Pd  0.000  0.000  0.500

Computed properties:
Energy in eV/cell: -111.791
E_form in kJ/mol of atoms: 10.6
SG: P4/mmm (123)

***

(9)
DFT (SCAN) results for a crystal of TaBe2W relaxed with PBEsol.

Cell lengths 4.846, 4.846, 4.846 Å; angles 137.47, 137.47, 61.72 degrees
Positions (direct):
Ta  0.000  0.000  0.000
Be  0.250  0.750  0.500
Be  0.500  0.500  0.000
W  0.750  0.250  0.500

Computed properties:
Energy in eV/cell: -144.438
E_form in kJ/mol of atoms: 13.0
SG: I-4m2 (119)

***

(10)
DFT (SCAN) results for a crystal of LiCa2Y relaxed with PBEsol.

Cell lengths 11.799, 11.799, 11.799 Å; angles 17.73, 17.73, 17.73 degrees
Positions (direct):
Li  0.000  0.000  0.000
Ca  0.505  0.505  0.505
Ca  0.747  0.747  0.747
Y  0.258  0.258  0.258

Computed properties:
Energy in eV/cell: -49.054
E_form in kJ/mol of atoms: 12.2
SG: R3m (160)

***

(11)
DFT (SCAN) results for a crystal of Sr2PrTlCu2O7 relaxed with PBEsol.

Cell lengths 3.808, 3.808, 12.099 Å; angles 90.00, 90.00, 90.00 degrees
Positions (direct):
Sr  0.000  0.000  0.204
Sr  0.000  0.000  0.796
Pr  0.000  0.000  0.500
Tl  0.500  0.500  0.000
Cu  0.500  0.500  0.354
Cu  0.500  0.500  0.646
O  0.000  0.000  0.000
O  0.000  0.500  0.370
O  0.000  0.500  0.630
O  0.500  0.000  0.370
O  0.500  0.000  0.630
O  0.500  0.500  0.173
O  0.500  0.500  0.827

Computed properties:
Energy in eV/cell: -261.058
SG: P4/mmm (123)
Formation energy without anion corrections in meV/atom: -2062

***

(12)
DFT (SCAN) results for a crystal of MgMnInS4 relaxed with PBEsol.

Cell lengths 7.375, 7.375, 7.375 Å; angles 120.25, 118.62, 90.98 degrees
Positions (direct):
Mg  0.378  0.128  0.250
Mg  0.622  0.872  0.750
Mn  0.000  0.000  0.500
Mn  0.000  0.500  0.000
In  0.000  0.500  0.500
In  0.500  0.500  0.000
S  0.219  0.249  0.970
S  0.220  0.751  0.470
S  0.230  0.239  0.509
S  0.230  0.721  0.991
S  0.770  0.279  0.009
S  0.770  0.761  0.491
S  0.780  0.249  0.530
S  0.781  0.751  0.030

Computed properties:
Energy in eV/cell: -204.586
SG: Imma (74)
Formation energy without anion corrections in meV/atom: -1024

***

(13)
DFT (SCAN) results for a crystal of NiMoS2 relaxed with PBEsol.

Cell lengths 4.168, 4.168, 4.168 Å; angles 60.00, 60.00, 60.00 degrees
Positions (direct):
Ni  0.000  0.000  0.000
Mo  0.500  0.500  0.500
S  0.250  0.250  0.250
S  0.750  0.750  0.750

Computed properties:
Energy in eV/cell: -70.255
SG: Fm-3m (225)
Formation energy without anion corrections in meV/atom: 15

***

(14)
DFT (SCAN) results for a crystal of KLi2Al relaxed with PBEsol.

Cell lengths 5.266, 5.266, 3.364 Å; angles 90.00, 90.00, 90.10 degrees
Positions (direct):
K  0.000  0.000  0.000
Li  0.000  0.500  0.500
Li  0.500  0.000  0.500
Al  0.500  0.500  0.000

Computed properties:
Energy in eV/cell: -19.949
E_form in kJ/mol of atoms: 22.0
SG: Cmmm (65)

***

(15)
DFT (SCAN) results for a crystal of LiLaBr2 relaxed with PBEsol.

Cell lengths 3.729, 3.729, 6.942 Å; angles 90.00, 90.00, 90.00 degrees
Positions (direct):
Li  0.000  0.000  0.000
La  0.000  0.000  0.500
Br  0.500  0.500  0.257
Br  0.500  0.500  0.743

Computed properties:
Energy in eV/cell: -89.746
SG: P4/mmm (123)
Formation energy without anion corrections in meV/atom: -1333

***

(16)
DFT (SCAN) results for a crystal of Ca2AsCl relaxed with PBEsol.

Cell lengths 4.171, 4.171, 5.699 Å; angles 90.00, 90.00, 90.00 degrees
Positions (direct):
Ca  0.000  0.000  0.000
Ca  0.500  0.500  0.500
As  0.000  0.000  0.500
Cl  0.500  0.500  0.000

Computed properties:
Energy in eV/cell: -54.775
SG: P4/mmm (123)
Formation energy without anion corrections in meV/atom: -1820

***

(17)
DFT (SCAN) results for a crystal of TiNb2SiPd relaxed with PBEsol.

Cell lengths 4.550, 4.550, 4.579 Å; angles 90.00, 90.00, 90.00 degrees
Positions (direct):
Ti  0.000  0.000  0.000
Nb  0.000  0.500  0.000
Nb  0.500  0.000  0.000
Si  0.000  0.000  0.500
Pd  0.500  0.500  0.500

Computed properties:
Energy in eV/cell: -119.861
SG: P4/mmm (123)
Formation energy without anion corrections in meV/atom: 1044

***

(18)
DFT (SCAN) results for a crystal of FeHg2Ir relaxed with PBEsol.

Cell lengths 4.522, 4.522, 4.522 Å; angles 60.00, 60.00, 60.00 degrees
Positions (direct):
Fe  0.000  0.000  0.000
Hg  0.250  0.250  0.250
Hg  0.750  0.750  0.750
Ir  0.500  0.500  0.500

Computed properties:
Energy in eV/cell: -223.467
E_form in kJ/mol of atoms: 50.5
SG: Fm-3m (225)

***

(19)
DFT (SCAN) results for a crystal of Sr2NiH2 relaxed with PBEsol.

Cell lengths 5.222, 5.222, 5.222 Å; angles 121.03, 121.03, 88.22 degrees
Positions (direct):
Sr  0.250  0.750  0.500
Sr  0.750  0.250  0.500
Ni  0.000  0.000  0.000
H  0.206  0.206  0.000
H  0.794  0.794  0.000

Computed properties:
Energy in eV/cell: -69.127
SG: I4/mmm (139)

***

(20)
DFT (SCAN) results for a crystal of YPbBr2 relaxed with PBEsol.

Cell lengths 6.267, 6.267, 6.267 Å; angles 147.56, 121.41, 68.58 degrees
Positions (direct):
Y  0.000  0.000  0.000
Pb  0.500  0.500  0.000
Br  0.215  0.715  0.500
Br  0.785  0.285  0.500

Computed properties:
Energy in eV/cell: -147.032
SG: Immm (71)
Formation energy without anion corrections in meV/atom: -1122

***

Computed magnetic moment (μB per atom) in order:
0.000; 0.000; 0.000; 0.700; 0.143; 0.000; 0.000; 0.000; 0.000; 0.019; 0.000; 0.571; 0.490; 0.000; 0.105; 0.000; 0.000; 0.872; 0.000; 0.000
Computed N(E_F) (states/eV/f.u.) in order:
1.29; 2.92; 1.27; 3.37; 0.35; 2.44; 2.14; 1.80; 1.81; 3.05; 1.63; 1.28; 1.00; 1.39; 0.89; 0.02; 4.52; 1.43; 1.60; 1.59